# ScSn2Pd4, relaxed, DFT PBE
# E in eV per atom: -4.98
# Calculated volume in Å³ per atom: 22.73
data_ScSn2Pd4
_cell_length_a 4.867
_cell_length_b 4.867
_cell_length_c 13.433
_cell_angle_alpha 90.00
_cell_angle_beta 90.00
_cell_angle_gamma 90.00
_space_group_name_H-M_alt 'I 4/m m m'
_space_group_IT_number 139
_space_group_name_Hall '-I 4 2'
loop_
_atom_site_label
_atom_site_fract_x
_atom_site_fract_y
_atom_site_fract_z
Sc1 0.000 0.000 0.000
Sn1 0.000 0.000 0.380
Pd1 0.000 0.000 0.183
Pd2 0.000 0.500 0.000


# Sc2Sn2Pd, relaxed, DFT PBE
# Polymorph energy (0 for the lowest one) in meV per atom: 0.0
# E in eV per atom: -5.82
# Calculated volume in Å³ per atom: 21.85
data_Sc2Sn2Pd
_cell_length_a 7.013
_cell_length_b 7.013
_cell_length_c 4.443
_cell_angle_alpha 90.00
_cell_angle_beta 90.00
_cell_angle_gamma 90.00
_space_group_name_H-M_alt 'P 4/m b m'
_space_group_IT_number 127
_space_group_name_Hall '-P 4 2ab'
loop_
_atom_site_label
_atom_site_fract_x
_atom_site_fract_y
_atom_site_fract_z
Sc1 0.163 0.337 0.000
Sn1 0.146 0.646 0.500
Pd1 0.000 0.000 0.500


# Sc2Sn3Pd4, relaxed, DFT PBE
# E in eV per atom: -5.75
# Calculated volume in Å³ per atom: 18.81
data_Sc2Sn3Pd4
_cell_length_a 8.246
_cell_length_b 4.758
_cell_length_c 8.632
_cell_angle_alpha 90.00
_cell_angle_beta 90.07
_cell_angle_gamma 90.00
_space_group_name_H-M_alt 'C 1 2/m 1'
_space_group_IT_number 12
_space_group_name_Hall '-C 2y'
loop_
_atom_site_label
_atom_site_fract_x
_atom_site_fract_y
_atom_site_fract_z
Sc1 0.167 0.000 0.217
Sn1 0.000 0.500 0.000
Sn2 0.166 0.000 0.581
Pd1 0.001 0.500 0.329
Pd2 0.166 0.000 0.897


# ThScSnPd, relaxed, DFT PBE
# E in eV per atom: -6.27
# Calculated volume in Å³ per atom: 24.11
data_ThScSnPd
_cell_length_a 7.280
_cell_length_b 7.280
_cell_length_c 7.280
_cell_angle_alpha 90.00
_cell_angle_beta 90.00
_cell_angle_gamma 90.00
_space_group_name_H-M_alt 'F -4 3 m'
_space_group_IT_number 216
_space_group_name_Hall 'F -4 2 3'
loop_
_atom_site_label
_atom_site_fract_x
_atom_site_fract_y
_atom_site_fract_z
Th1 0.000 0.000 0.000
Sc1 0.000 0.000 0.500
Sn1 0.250 0.250 0.250
Pd1 0.250 0.250 0.750


# ScTiSnPd, relaxed, DFT PBE
# E in eV per atom: -6.38
# Calculated volume in Å³ per atom: 19.09
data_ScTiSnPd
_cell_length_a 6.735
_cell_length_b 6.735
_cell_length_c 6.735
_cell_angle_alpha 90.00
_cell_angle_beta 90.00
_cell_angle_gamma 90.00
_space_group_name_H-M_alt 'F -4 3 m'
_space_group_IT_number 216
_space_group_name_Hall 'F -4 2 3'
loop_
_atom_site_label
_atom_site_fract_x
_atom_site_fract_y
_atom_site_fract_z
Sc1 0.000 0.000 0.000
Ti1 0.000 0.000 0.500
Sn1 0.250 0.250 0.250
Pd1 0.250 0.250 0.750


# ScTl2SnPd, relaxed, DFT PBE
# E in eV per atom: -3.55
# Calculated volume in Å³ per atom: 31.18
data_ScTl2SnPd
_cell_length_a 5.609
_cell_length_b 5.609
_cell_length_c 4.957
_cell_angle_alpha 90.00
_cell_angle_beta 90.00
_cell_angle_gamma 90.00
_space_group_name_H-M_alt 'P 4/m m m'
_space_group_IT_number 123
_space_group_name_Hall '-P 4 2'
loop_
_atom_site_label
_atom_site_fract_x
_atom_site_fract_y
_atom_site_fract_z
Sc1 0.000 0.000 0.000
Tl1 0.000 0.500 0.500
Sn1 0.500 0.500 0.500
Pd1 0.500 0.500 0.000